Lu2Ga9Co3: PBEsol geometry, meta-GGA SCAN.

Computed properties:
* D(E_F): 0.3545 states/eV/atom
* DFT formation energy: -493 meV per atom
* crystal system: orthorhombic
* total magnetic moment: 0.00 μB per cell

a = 7.200 Å, b = 7.200 Å, c = 9.181 Å
α = 90.00°, β = 90.00°, γ = 60.23°
Sites, in units of the cell vectors:
Lu1 0.003 0.669 0.750
Lu2 0.331 0.997 0.750
Lu3 0.669 0.003 0.250
Lu4 0.997 0.331 0.250
Ga1 0.001 0.334 0.573
Ga2 0.001 0.334 0.927
Ga3 0.119 0.881 0.250
Ga4 0.333 0.667 0.560
Ga5 0.333 0.667 0.940
Ga6 0.334 0.001 0.073
Ga7 0.334 0.001 0.427
Ga8 0.337 0.447 0.250
Ga9 0.447 0.337 0.750
Ga10 0.553 0.663 0.250
Ga11 0.663 0.553 0.750
Ga12 0.666 0.999 0.573
Ga13 0.666 0.999 0.927
Ga14 0.667 0.333 0.060
Ga15 0.667 0.333 0.440
Ga16 0.881 0.119 0.750
Ga17 0.999 0.666 0.073
Ga18 0.999 0.666 0.427
Co1 0.000 0.000 0.000
Co2 0.000 0.000 0.500
Co3 0.329 0.329 0.000
Co4 0.329 0.329 0.500
Co5 0.671 0.671 0.000
Co6 0.671 0.671 0.500